Compound: W2I2O
Source: Alexandria
Functional: PBE with a Hubbard U
Structure: relaxed

Properties
**Calculated volume**: 111.2 Å³ per cell
**Energy above the most stable polymorph in this dataset**: 0 meV/atom

Cell and atoms, written as POSCAR:
```
W2I2O
1.0
3.8012 0.0000 0.0000
0.0000 3.8012 0.0000
1.9006 1.9006 7.6946
I O W
2 1 2
Direct
0.3922 0.3922 0.2157
0.6078 0.6078 0.7843
0.0000 0.0000 0.0000
0.7500 0.2500 0.5000
0.2500 0.7500 0.5000
```